Entry 1:
# LiCuTc2 (PBE, optimized geometry)
# - Size of the total moment: 0.0 μB/cell
# - E_tot: -102.2 eV/cell
data_LiCuTc2
_chemical_formula_sum 'Li4 Cu4 Tc8'
_cell_length_a 5.953
_cell_length_b 5.953
_cell_length_c 5.953
_cell_angle_alpha 90.00
_cell_angle_beta 90.00
_cell_angle_gamma 90.00
_space_group_name_H-M_alt 'F -4 3 m'
_space_group_IT_number 216
_space_group_name_Hall 'F -4 2 3'
loop_
_atom_site_label
_atom_site_type_symbol
_atom_site_fract_x
_atom_site_fract_y
_atom_site_fract_z
Li1 Li 0.000 0.000 0.000
Cu1 Cu 0.250 0.250 0.750
Tc1 Tc 0.000 0.000 0.500
Tc2 Tc 0.250 0.250 0.250

---

Entry 2:
# LiCuTcTe3 (PBE, optimized geometry)
# - Size of the total moment: 1.0 μB/cell
# - E_tot: -53.4 eV/cell
data_LiCuTcTe3
_chemical_formula_sum 'Li2 Cu2 Tc2 Te6'
_cell_length_a 7.706
_cell_length_b 3.804
_cell_length_c 9.590
_cell_angle_alpha 90.00
_cell_angle_beta 107.12
_cell_angle_gamma 90.00
_space_group_name_H-M_alt 'P 1 21/m 1'
_space_group_IT_number 11
loop_
_space_group_symop_operation_xyz
'x,y,z'
'-x,-y,-z'
'-x,y+1/2,-z'
'x,-y+1/2,z'
loop_
_atom_site_label
_atom_site_type_symbol
_atom_site_fract_x
_atom_site_fract_y
_atom_site_fract_z
Li1 Li 0.222 0.250 0.204
Cu1 Cu 0.419 0.250 0.899
Tc1 Tc 0.195 0.750 0.682
Te1 Te 0.071 0.750 0.379
Te2 Te 0.224 0.750 0.971
Te3 Te 0.424 0.250 0.636

---

Entry 3:
# LiCuTcTe3 (PBE, optimized geometry)
# - Size of the total moment: 2.9 μB/cell
# - E_tot: -105.2 eV/cell
data_LiCuTcTe3
_chemical_formula_sum 'Li4 Cu4 Tc4 Te12'
_cell_length_a 3.648
_cell_length_b 13.792
_cell_length_c 10.165
_cell_angle_alpha 90.00
_cell_angle_beta 90.00
_cell_angle_gamma 90.00
_space_group_name_H-M_alt 'C m c m'
_space_group_IT_number 63
_space_group_name_Hall '-C 2c 2'
loop_
_atom_site_label
_atom_site_type_symbol
_atom_site_fract_x
_atom_site_fract_y
_atom_site_fract_z
Li1 Li 0.000 0.228 0.250
Cu1 Cu 0.000 0.461 0.750
Tc1 Tc 0.000 0.000 0.000
Te1 Te 0.000 0.094 0.750
Te2 Te 0.000 0.356 0.546